This record from Alexandria describes an optimized crystal structure of La3Sm7Tl2. The functional is PBE.

Output
Crystal system   monoclinic
Space-group type   P2/m (10)
Final energy   -4.42 eV/atom
DOS at the Fermi energy   16.239 states/eV per cell

The structure in POSCAR format:
```
La3Sm7Tl2
1.0
-2.982 1.308 -1.709
2.303 -1.511 -5.174
-8.608 -16.492 2.398
Sm Tl La
7 2 3
Cartesian
-6.791 -14.332 -3.075
-3.781 -8.126 -3.578
-6.551 -14.453 0.369
0.246 -3.551 -3.146
-2.496 -2.364 -1.410
0.000 0.000 0.000
-5.506 -8.570 -0.908
-6.878 -11.411 -0.688
-2.409 -5.284 -3.797
-3.730 -11.768 -2.498
-2.575 -6.236 -0.279
-0.339 -0.102 -3.442
```